# 1
# ScTlO3

A geometry-optimized ScTlO3 structure (PBE, Alexandria).

Properties
Calculated density ... 7.7 Mg/m³
Uncorrected energy ... -0.2482 hartree per atom
Formation energy (no corrections) ... -2.04 eV/atom
Spin magnetization ... 0.0 μB/f.u.

a b c (Å): 5.5516 5.6683 8.1690
angles (deg): 90.00 90.00 90.00
Closest atoms and distances in Å follow each position.
Fractional positions:
O: 0.1852 0.1885 0.5652  2 Sc 2.11-2.12, 1 Tl 2.23
O: 0.8821 0.5686 0.7500  2 Sc 2.18, 2 Tl 2.29-2.30
O: 0.8148 0.8115 0.4348  2 Sc 2.11-2.12, 1 Tl 2.23
O: 0.6852 0.3115 0.4348  2 Sc 2.11-2.12, 1 Tl 2.23
O: 0.3148 0.6885 0.5652  2 Sc 2.11-2.12, 1 Tl 2.23
O: 0.3821 0.9314 0.2500  2 Sc 2.18, 2 Tl 2.29-2.30
O: 0.3148 0.6885 0.9348  2 Sc 2.11-2.12, 1 Tl 2.23
O: 0.6852 0.3115 0.0652  2 Sc 2.11-2.12, 1 Tl 2.23
O: 0.6179 0.0686 0.7500  2 Sc 2.18, 2 Tl 2.29-2.30
O: 0.1852 0.1885 0.9348  2 Sc 2.11-2.12, 1 Tl 2.23
O: 0.1179 0.4314 0.2500  2 Sc 2.18, 2 Tl 2.29-2.30
O: 0.8148 0.8115 0.0652  2 Sc 2.11-2.12, 1 Tl 2.23
Tl: 0.4852 0.4512 0.7500  4 O 2.23-2.30
Tl: 0.5148 0.5488 0.2500  4 O 2.23-2.30
Tl: 0.0148 0.9512 0.7500  4 O 2.23-2.30
Tl: 0.9852 0.0488 0.2500  4 O 2.23-2.30
Sc: 0.5000 0.0000 0.5000  6 O 2.11-2.18
Sc: 0.5000 0.0000 0.0000  6 O 2.11-2.18
Sc: 0.0000 0.5000 0.0000  6 O 2.11-2.18
Sc: 0.0000 0.5000 0.5000  6 O 2.11-2.18

# 2
# Pm6SmHoSc2

A geometry-optimized Pm6SmHoSc2 structure (PBE, Alexandria).

Properties
Calculated density ... 6.6 Mg/m³
Energy of formation from the pure elements ... 12.00 kJ per mole of atoms
Uncorrected energy ... -0.1809 hartree per atom
Spin magnetization ... 0.0 μB/f.u.

a b c (Å): 9.5309 8.7598 8.7598
angles (deg): 117.19 93.98 93.98
Closest atoms and distances in Å follow each position.
Fractional positions:
Sm: 0.7500 0.0310 0.9690  4 Sc 3.37-3.42, 6 Pm 3.54-3.71
Sm: 0.2500 0.9690 0.0310  4 Sc 3.37-3.42, 6 Pm 3.54-3.71
Pm: 0.8186 0.4427 0.9894  3 Pm 3.27-3.57, 1 Ho 3.42, 2 Sc 3.44-3.58, 1 Sm 3.54
Pm: 0.4464 0.2389 0.8906  7 Pm 3.40-3.77, 1 Sc 3.42, 2 Sm 3.60-3.71
Pm: 0.1814 0.5573 0.0106  3 Pm 3.27-3.57, 1 Ho 3.42, 2 Sc 3.44-3.58, 1 Sm 3.54
Pm: 0.3826 0.5092 0.2995  3 Sc 3.24-3.40, 3 Pm 3.26-3.40, 2 Ho 3.36-3.50
Pm: 0.0536 0.1094 0.7611  7 Pm 3.40-3.77, 1 Sc 3.42, 2 Sm 3.60-3.71
Pm: 0.6174 0.4908 0.7005  3 Sc 3.24-3.40, 3 Pm 3.26-3.40, 2 Ho 3.36-3.50
Pm: 0.8826 0.2995 0.5092  3 Sc 3.24-3.40, 3 Pm 3.26-3.40, 2 Ho 3.36-3.50
Pm: 0.6814 0.0106 0.5573  3 Pm 3.27-3.57, 1 Ho 3.42, 2 Sc 3.44-3.58, 1 Sm 3.54
Pm: 0.5536 0.7611 0.1094  7 Pm 3.40-3.77, 1 Sc 3.42, 2 Sm 3.60-3.71
Pm: 0.9464 0.8906 0.2389  7 Pm 3.40-3.77, 1 Sc 3.42, 2 Sm 3.60-3.71
Pm: 0.1174 0.7005 0.4908  3 Sc 3.24-3.40, 3 Pm 3.26-3.40, 2 Ho 3.36-3.50
Pm: 0.3186 0.9894 0.4427  3 Pm 3.27-3.57, 1 Ho 3.42, 2 Sc 3.44-3.58, 1 Sm 3.54
Ho: 0.2500 0.4084 0.5916  6 Pm 3.36-3.50, 2 Sc 3.48
Ho: 0.7500 0.5916 0.4084  6 Pm 3.36-3.50, 2 Sc 3.48
Sc: 0.0502 0.2981 0.1999  6 Pm 3.24-3.58, 2 Sm 3.37-3.42, 1 Ho 3.48
Sc: 0.9498 0.7019 0.8001  6 Pm 3.24-3.58, 2 Sm 3.37-3.42, 1 Ho 3.48
Sc: 0.4498 0.8001 0.7019  6 Pm 3.24-3.58, 2 Sm 3.37-3.42, 1 Ho 3.48
Sc: 0.5502 0.1999 0.2981  6 Pm 3.24-3.58, 2 Sm 3.37-3.42, 1 Ho 3.48

# 3
# Li3Mg2Cd8

A geometry-optimized Li3Mg2Cd8 structure (PBE, Alexandria).

Properties
Calculated density ... 5.5 Mg/m³
Energy of formation from the pure elements ... -4.93 kJ per mole of atoms
Uncorrected energy ... -0.0478 hartree per atom
ΔE to the lowest computed polymorph ... 64 meV/atom
Spin magnetization ... 0.0 μB/f.u.

a b c (Å): 5.6751 5.6751 10.9978
angles (deg): 75.05 75.05 60.00
Closest atoms and distances in Å follow each position.
Fractional positions:
Cd: 0.2797 0.2797 0.6611  4 Cd 2.84, 3 Li 2.85-3.03, 1 Mg 3.08
Cd: 0.2204 0.7203 0.3389  4 Cd 2.84, 3 Li 2.85-3.03, 1 Mg 3.08
Cd: 0.2797 0.7796 0.6611  4 Cd 2.84, 3 Li 2.85-3.03, 1 Mg 3.08
Cd: 0.7203 0.2204 0.3389  4 Cd 2.84, 3 Li 2.85-3.03, 1 Mg 3.08
Cd: 0.2750 0.2750 0.1749  1 Li 2.77, 1 Mg 2.78
Cd: 0.7796 0.2797 0.6611  4 Cd 2.84, 3 Li 2.85-3.03, 1 Mg 3.08
Cd: 0.7203 0.7203 0.3389  4 Cd 2.84, 3 Li 2.85-3.03, 1 Mg 3.08
Cd: 0.7250 0.7250 0.8251  1 Li 2.77, 1 Mg 2.78
Li: 0.8131 0.8131 0.5608  10 Cd 2.77-3.03
Li: 0.0000 0.0000 0.0000  6 Mg 3.41, 6 Cd 3.76
Li: 0.1869 0.1869 0.4392  10 Cd 2.77-3.03
Mg: 0.6366 0.6366 0.0903  4 Cd 2.78-3.08
Mg: 0.3634 0.3634 0.9097  4 Cd 2.78-3.08

# 4
# SiHgSe2N

A geometry-optimized SiHgSe2N structure (PBE, Alexandria).

Properties
Calculated density ... 5.6 Mg/m³
Uncorrected energy ... -0.1037 hartree per atom
ΔE to the lowest computed polymorph ... 1144 meV/atom
Formation energy (no corrections) ... 1.38 eV/atom
Spin magnetization ... 2.0 μB/f.u.

a b c (Å): 5.3599 5.3599 4.1098
angles (deg): 90.00 90.00 90.00
Closest atoms and distances in Å follow each position.
Fractional positions:
Se: 0.5000 0.0000 0.0000  2 Hg 2.68
Se: 0.0000 0.5000 0.0000  2 Hg 2.68
Si: 0.5000 0.5000 0.5000  8 Se 3.38
N: 0.0000 0.0000 0.5000  2 Hg 2.05
Hg: 0.0000 0.0000 0.0000  2 N 2.05